# 1
The following is a DFT calculation (PBE) of a geometry-optimized Na2Ge4RuPt3 structure.

a = 4.2370 Å, b = 4.2370 Å, c = 10.3973 Å
α = 90.00°, β = 90.00°, γ = 90.00°
Fractional coordinates of all 10 atoms:
Ge: 0.0000 0.5000 0.3738
Ge: 0.5000 0.0000 0.6262
Ge: 0.5000 0.5000 0.0000
Ge: 0.0000 0.0000 0.0000
Na: 0.0000 0.5000 0.7423
Na: 0.5000 0.0000 0.2577
Pt: 0.0000 0.5000 0.1328
Pt: 0.5000 0.0000 0.8672
Pt: 0.0000 0.0000 0.5000
Ru: 0.5000 0.5000 0.5000

## Properties
Magnetic moment: 0.00 μB per cell
DFT total energy: -5.29 eV per atom
ΔE_f: -0.44 eV/atom

# 2
The following is a DFT calculation (PBE) of a geometry-optimized YZn5 structure.

a = 8.9058 Å, b = 8.9058 Å, c = 9.0645 Å
α = 90.00°, β = 90.00°, γ = 120.00°
Fractional coordinates of all 36 atoms:
Zn: 0.3221 0.1610 0.0922
Zn: 0.8390 0.1610 0.0922
Zn: 0.8390 0.1610 0.4078
Zn: 0.1610 0.8390 0.5922
Zn: 0.6779 0.8390 0.5922
Zn: 0.6667 0.3333 0.5164
Zn: 0.8390 0.6779 0.0922
Zn: 0.0000 0.5000 0.5000
Zn: 0.5000 0.0000 0.5000
Zn: 0.3333 0.6667 0.4836
Zn: 0.5681 0.4319 0.2500
Zn: 0.4319 0.5681 0.7500
Zn: 0.1363 0.5681 0.7500
Zn: 0.0000 0.5000 0.0000
Zn: 0.8637 0.4319 0.2500
Zn: 0.6779 0.8390 0.9078
Zn: 0.1610 0.3221 0.9078
Zn: 0.0000 0.0000 0.0000
Zn: 0.8390 0.6779 0.4078
Zn: 0.3333 0.6667 0.0164
Zn: 0.1610 0.3221 0.5922
Zn: 0.6667 0.3333 0.9836
Zn: 0.3221 0.1610 0.4078
Zn: 0.5000 0.0000 0.0000
Zn: 0.1610 0.8390 0.9078
Zn: 0.0000 0.0000 0.5000
Zn: 0.5681 0.1363 0.2500
Zn: 0.5000 0.5000 0.0000
Zn: 0.5000 0.5000 0.5000
Zn: 0.4319 0.8637 0.7500
Y: 0.8104 0.1896 0.7500
Y: 0.1896 0.8104 0.2500
Y: 0.8104 0.6209 0.7500
Y: 0.3791 0.1896 0.7500
Y: 0.1896 0.3791 0.2500
Y: 0.6209 0.8104 0.2500

## Properties
Magnetic moment: 0.00 μB per cell
DFT total energy: -2.41 eV per atom
ΔE_f: -0.27 eV/atom

What did the first record say?
The following is a DFT calculation (PBE) of a geometry-optimized Na2Ge4RuPt3 structure.

a = 4.2370 Å, b = 4.2370 Å, c = 10.3973 Å
α = 90.00°, β = 90.00°, γ = 90.00°
Fractional coordinates of all 10 atoms:
Ge: 0.0000 0.5000 0.3738
Ge: 0.5000 0.0000 0.6262
Ge: 0.5000 0.5000 0.0000
Ge: 0.0000 0.0000 0.0000
Na: 0.0000 0.5000 0.7423
Na: 0.5000 0.0000 0.2577
Pt: 0.0000 0.5000 0.1328
Pt: 0.5000 0.0000 0.8672
Pt: 0.0000 0.0000 0.5000
Ru: 0.5000 0.5000 0.5000

## Properties
Magnetic moment: 0.00 μB per cell
DFT total energy: -5.29 eV per atom
ΔE_f: -0.44 eV/atom

Q: magnetic moment of number 2 (YZn5)?
A: 0.00 μB per cell

Q: Among the records above, which one has the highest DFT total energy?
A: YZn5

Q: What is the ΔE_f in the first record?
A: -0.44 eV/atom